<a>
# GeIrSCl2 (PBE-GGA, optimized geometry)
# * space-group type: P4/mmm
# * magnetization: 0.00 μB per atom
data_GeIrSCl2
_space_group_name_H-M_alt 'P 1'
_space_group_IT_number 1
_space_group_name_Hall 'P 1'
_cell_length_a 4.768
_cell_length_b 4.768
_cell_length_c 4.712
_cell_angle_alpha 90.00
_cell_angle_beta 90.00
_cell_angle_gamma 90.00
loop_
_atom_site_label
_atom_site_fract_x
_atom_site_fract_y
_atom_site_fract_z
_atom_site_occupancy
Ge1 0.000 0.000 0.000 1
Ir1 0.500 0.500 0.500 1
S1 0.500 0.500 0.000 1
Cl1 0.000 0.500 0.500 1
Cl2 0.500 0.000 0.500 1

=====

<b>
# GeIrSCl2 (PBE-GGA, optimized geometry)
# * space-group type: P4/mmm
# * magnetization: 0.49 μB per atom
data_GeIrSCl2
_space_group_name_H-M_alt 'P 1'
_space_group_IT_number 1
_space_group_name_Hall 'P 1'
_cell_length_a 4.773
_cell_length_b 4.773
_cell_length_c 5.005
_cell_angle_alpha 90.00
_cell_angle_beta 90.00
_cell_angle_gamma 90.00
loop_
_atom_site_label
_atom_site_fract_x
_atom_site_fract_y
_atom_site_fract_z
_atom_site_occupancy
Ge1 0.000 0.000 0.000 1
Ir1 0.500 0.500 0.500 1
S1 0.000 0.000 0.500 1
Cl1 0.000 0.500 0.000 1
Cl2 0.500 0.000 0.000 1

=====

Out of the structures above, which one is the least stable? Solution: <b>.